# ZrTaIO2 (PBE-GGA, optimized geometry)
# * theoretical density: 7.17 g/cm3
# * size of the total moment: 0.2 μB per cell
# * raw formation energy: -84 kJ per mole of atoms
# * ΔE to the lowest computed polymorph: 0 meV per atom
data_ZrTaIO2
_chemical_formula_sum 'Zr1 Ta1 I1 O2'
_cell_length_a 3.970
_cell_length_b 3.970
_cell_length_c 6.334
_cell_angle_alpha 90.00
_cell_angle_beta 90.00
_cell_angle_gamma 90.00
_symmetry_space_group_name_H-M 'P 4/m m m'
_symmetry_Int_Tables_number 123
_symmetry_space_group_name_Hall '-P 4 2'
loop_
_atom_site_label
_atom_site_type_symbol
_atom_site_fract_x
_atom_site_fract_y
_atom_site_fract_z
Zr1 Zr 0.000 0.000 0.000
Ta1 Ta 0.500 0.500 0.500
I1 I 0.500 0.500 0.000
O1 O 0.000 0.500 0.500

=====

# Tb3IO7 (PBE-GGA, optimized geometry)
# * theoretical density: 7.49 g/cm3
# * size of the total moment: 0.0 μB per cell
# * raw formation energy: -243 kJ per mole of atoms
data_Tb3IO7
_chemical_formula_sum 'Tb12 I4 O28'
_cell_length_a 7.756
_cell_length_b 10.742
_cell_length_c 7.618
_cell_angle_alpha 90.00
_cell_angle_beta 90.00
_cell_angle_gamma 90.00
_symmetry_space_group_name_H-M 'C 2 2 21'
_symmetry_Int_Tables_number 20
loop_
_symmetry_equiv_pos_as_xyz
'x,y,z'
'-x,-y,z+1/2'
'x,-y,-z'
'-x,y,-z+1/2'
'x+1/2,y+1/2,z'
'-x+1/2,-y+1/2,z+1/2'
'x+1/2,-y+1/2,-z'
'-x+1/2,y+1/2,-z+1/2'
loop_
_atom_site_label
_atom_site_type_symbol
_atom_site_fract_x
_atom_site_fract_y
_atom_site_fract_z
Tb1 Tb 0.036 0.000 0.000
Tb2 Tb 0.234 0.264 0.756
I1 I 0.004 0.500 0.000
O1 O 0.000 0.132 0.250
O2 O 0.000 0.138 0.750
O3 O 0.000 0.416 0.750
O4 O 0.188 0.377 0.041
O5 O 0.219 0.371 0.481

=====

# TbI2O8 (PBE-GGA, optimized geometry)
# * theoretical density: 3.98 g/cm3
# * size of the total moment: 0.4 μB per cell
# * raw formation energy: -79 kJ per mole of atoms
data_TbI2O8
_chemical_formula_sum 'Tb1 I2 O8'
_cell_length_a 6.1298
_cell_length_b 6.1298
_cell_length_c 6.9283
_cell_angle_alpha 90.00
_cell_angle_beta 90.00
_cell_angle_gamma 120.00
_symmetry_space_group_name_H-M 'P -3 m 1'
_symmetry_Int_Tables_number 164
_symmetry_space_group_name_Hall '-P 3 2"'
loop_
_atom_site_label
_atom_site_type_symbol
_atom_site_fract_x
_atom_site_fract_y
_atom_site_fract_z
Tb1 Tb 0.0000 0.0000 0.0000
I1 I 0.3333 0.6667 0.7116
O1 O 0.1729 0.3457 0.8111
O2 O 0.3333 0.6667 0.4515

=====

# Tb2IO (PBE-GGA, optimized geometry)
# * theoretical density: 8.71 g/cm3
# * size of the total moment: 0.0 μB per cell
# * raw formation energy: -157 kJ per mole of atoms
data_Tb2IO
_chemical_formula_sum 'Tb6 I3 O3'
_cell_length_a 3.7001
_cell_length_b 3.7001
_cell_length_c 22.2193
_cell_angle_alpha 90.00
_cell_angle_beta 90.00
_cell_angle_gamma 120.00
_symmetry_space_group_name_H-M 'R -3 m'
_symmetry_Int_Tables_number 166
_symmetry_space_group_name_Hall '-R 3 2"'
loop_
_atom_site_label
_atom_site_type_symbol
_atom_site_fract_x
_atom_site_fract_y
_atom_site_fract_z
Tb1 Tb 0.0000 0.0000 0.2220
I1 I 0.0000 0.0000 0.0000
O1 O 0.0000 0.0000 0.5000

=====

# Tb4IO10 (PBE-GGA, optimized geometry)
# * theoretical density: 7.93 g/cm3
# * size of the total moment: 0.0 μB per cell
# * raw formation energy: -221 kJ per mole of atoms
data_Tb4IO10
_chemical_formula_sum 'Tb8 I2 O20'
_cell_length_a 8.430
_cell_length_b 8.430
_cell_length_c 5.439
_cell_angle_alpha 90.00
_cell_angle_beta 90.00
_cell_angle_gamma 90.00
_symmetry_space_group_name_H-M 'I 4/m'
_symmetry_Int_Tables_number 87
_symmetry_space_group_name_Hall '-I 4'
loop_
_atom_site_label
_atom_site_type_symbol
_atom_site_fract_x
_atom_site_fract_y
_atom_site_fract_z
Tb1 Tb 0.097 0.695 0.000
I1 I 0.000 0.000 0.500
O1 O 0.000 0.500 0.250
O2 O 0.100 0.181 0.273

=====

# TbI2O6 (PBE-GGA, optimized geometry)
# * theoretical density: 5.10 g/cm3
# * size of the total moment: 2.0 μB per cell
# * raw formation energy: -101 kJ per mole of atoms
data_TbI2O6
_chemical_formula_sum 'Tb4 I8 O24'
_cell_length_a 9.507
_cell_length_b 11.928
_cell_length_c 6.007
_cell_angle_alpha 90.00
_cell_angle_beta 103.37
_cell_angle_gamma 90.00
_symmetry_space_group_name_H-M 'C 1 2/c 1'
_symmetry_Int_Tables_number 15
loop_
_symmetry_equiv_pos_as_xyz
'x,y,z'
'-x,-y,-z'
'-x,y,-z+1/2'
'x,-y,z+1/2'
'x+1/2,y+1/2,z'
'-x+1/2,-y+1/2,-z'
'-x+1/2,y+1/2,-z+1/2'
'x+1/2,-y+1/2,z+1/2'
loop_
_atom_site_label
_atom_site_type_symbol
_atom_site_fract_x
_atom_site_fract_y
_atom_site_fract_z
Tb1 Tb 0.000 0.087 0.250
I1 I 0.181 0.375 0.211
O1 O 0.102 0.390 0.460
O2 O 0.132 0.049 0.615
O3 O 0.149 0.220 0.164

=====

# Tb6IO12 (PBE-GGA, optimized geometry)
# * theoretical density: 7.79 g/cm3
# * size of the total moment: 0.0 μB per cell
# * raw formation energy: -282 kJ per mole of atoms
data_Tb6IO12
_chemical_formula_sum 'Tb18 I3 O36'
_cell_length_a 9.9450
_cell_length_b 9.9450
_cell_length_c 9.5059
_cell_angle_alpha 90.00
_cell_angle_beta 90.00
_cell_angle_gamma 120.00
_symmetry_space_group_name_H-M 'R -3'
_symmetry_Int_Tables_number 148
_symmetry_space_group_name_Hall '-R 3'
loop_
_atom_site_label
_atom_site_type_symbol
_atom_site_fract_x
_atom_site_fract_y
_atom_site_fract_z
Tb1 Tb 0.0407 0.7874 0.1421
I1 I 0.0000 0.0000 0.5000
O1 O 0.0325 0.8091 0.9010
O2 O 0.0437 0.8512 0.3882

=====

# Tb2I3O (PBE-GGA, optimized geometry)
# * theoretical density: 5.70 g/cm3
# * size of the total moment: 0.0 μB per cell
# * raw formation energy: -189 kJ per mole of atoms
# * ΔE to the lowest computed polymorph: 25 meV per atom
data_Tb2I3O
_chemical_formula_sum 'Tb8 I12 O4'
_cell_length_a 20.586
_cell_length_b 4.070
_cell_length_c 12.513
_cell_angle_alpha 90.00
_cell_angle_beta 127.42
_cell_angle_gamma 90.00
_symmetry_space_group_name_H-M 'C 1 2/m 1'
_symmetry_Int_Tables_number 12
loop_
_symmetry_equiv_pos_as_xyz
'x,y,z'
'-x,-y,-z'
'-x,y,-z'
'x,-y,z'
'x+1/2,y+1/2,z'
'-x+1/2,-y+1/2,-z'
'-x+1/2,y+1/2,-z'
'x+1/2,-y+1/2,z'
loop_
_atom_site_label
_atom_site_type_symbol
_atom_site_fract_x
_atom_site_fract_y
_atom_site_fract_z
Tb1 Tb 0.062 0.000 0.463
Tb2 Tb 0.126 0.500 0.765
I1 I 0.030 0.500 0.242
I2 I 0.172 0.000 0.006
I3 I 0.210 0.500 0.621
O1 O 0.077 0.000 0.660